First-principles (GGA-PBE) data for LiFe2P after structural relaxation, as listed in the Alexandria database.

## Properties
**E_tot**: -6.16 eV per atom
**Total magnetic moment**: 3.186 μB per cell
**DOS at the Fermi energy**: 0.7002 states/eV/atom
**Calculated formation energy**: -0.4 eV/f.u.

a = 2.721 Å, b = 2.721 Å, c = 6.682 Å
α = 90.00°, β = 90.00°, γ = 90.00°
Positions (direct):
1 Li 0.000 0.000 0.000
2 Fe 0.000 0.000 0.435
3 Fe 0.500 0.500 0.691
4 P 0.500 0.500 0.262